VASP calculation (meta-GGA SCAN) on a PBEsol-optimized structure of CrSbCl2.

Cell and atoms, written as CIF:
```
data_CrSbCl2
_space_group_name_H-M_alt 'P 4 m m'
_space_group_IT_number 99
_space_group_name_Hall 'P 4 -2'
_cell_length_a 3.315
_cell_length_b 3.315
_cell_length_c 7.680
_cell_angle_alpha 90.00
_cell_angle_beta 90.00
_cell_angle_gamma 90.00
loop_
_atom_site_label
_atom_site_fract_x
_atom_site_fract_y
_atom_site_fract_z
Cr1 0.000 0.000 0.000
Sb1 0.500 0.500 0.228
Cl1 0.000 0.000 0.470
Cl2 0.500 0.500 0.835
```

Output
- Raw formation energy: -0.3842 eV per atom
- N(E_F): 1.510 states/eV/f.u.
- Calculated density: 4.8 g/cm3
- V: 21.09 Å³/atom

=====

VASP calculation (meta-GGA SCAN) on a PBEsol-optimized structure of BaTiFe2Rh.

Cell and atoms, written as CIF:
```
data_BaTiFe2Rh
_space_group_name_H-M_alt 'P 4/m m m'
_space_group_IT_number 123
_space_group_name_Hall '-P 4 2'
_cell_length_a 4.543
_cell_length_b 4.543
_cell_length_c 4.841
_cell_angle_alpha 90.00
_cell_angle_beta 90.00
_cell_angle_gamma 90.00
loop_
_atom_site_label
_atom_site_fract_x
_atom_site_fract_y
_atom_site_fract_z
Ba1 0.000 0.000 0.000
Ti1 0.000 0.000 0.500
Fe1 0.000 0.500 0.000
Rh1 0.500 0.500 0.500
```

Output
- N(E_F): 6.401 states/eV/f.u.
- Calculated density: 6.6 g/cm3
- Formation energy from the elements: 2.51 eV/atom
- V: 19.99 Å³/atom

=====

VASP calculation (meta-GGA SCAN) on a PBEsol-optimized structure of MgAlIn2.

Cell and atoms, written as CIF:
```
data_MgAlIn2
_space_group_name_H-M_alt 'I 4/m m m'
_space_group_IT_number 139
_space_group_name_Hall '-I 4 2'
_cell_length_a 4.471
_cell_length_b 4.471
_cell_length_c 8.676
_cell_angle_alpha 90.00
_cell_angle_beta 90.00
_cell_angle_gamma 90.00
loop_
_atom_site_label
_atom_site_fract_x
_atom_site_fract_y
_atom_site_fract_z
Mg1 0.000 0.000 0.000
Al1 0.000 0.000 0.500
In1 0.000 0.500 0.250
```

Output
- N(E_F): 1.602 states/eV/f.u.
- Calculated density: 5.4 g/cm3
- Formation energy from the elements: -0.01 eV/atom
- V: 21.68 Å³/atom

=====

VASP calculation (meta-GGA SCAN) on a PBEsol-optimized structure of MgCu2PH.

Cell and atoms, written as CIF:
```
data_MgCu2PH
_space_group_name_H-M_alt 'P 4/m m m'
_space_group_IT_number 123
_space_group_name_Hall '-P 4 2'
_cell_length_a 4.719
_cell_length_b 4.719
_cell_length_c 4.566
_cell_angle_alpha 90.00
_cell_angle_beta 90.00
_cell_angle_gamma 90.00
loop_
_atom_site_label
_atom_site_fract_x
_atom_site_fract_y
_atom_site_fract_z
Mg1 0.000 0.000 0.000
Cu1 0.000 0.500 0.000
P1 0.000 0.000 0.500
H1 0.500 0.500 0.500
```

Output
- N(E_F): 2.178 states/eV/f.u.
- Raw total energy: -8.317 eV per atom
- Calculated density: 3.0 g/cm3
- V: 20.33 Å³/atom

=====

VASP calculation (meta-GGA SCAN) on a PBEsol-optimized structure of NiSb2Pt.

Cell and atoms, written as CIF:
```
data_NiSb2Pt
_space_group_name_H-M_alt 'P 4/m m m'
_space_group_IT_number 123
_space_group_name_Hall '-P 4 2'
_cell_length_a 3.228
_cell_length_b 3.228
_cell_length_c 6.851
_cell_angle_alpha 90.00
_cell_angle_beta 90.00
_cell_angle_gamma 90.00
loop_
_atom_site_label
_atom_site_fract_x
_atom_site_fract_y
_atom_site_fract_z
Ni1 0.000 0.000 0.000
Sb1 0.500 0.500 0.237
Pt1 0.000 0.000 0.500
```

Output
- Raw formation energy: 0.1446 eV per atom
- N(E_F): 2.150 states/eV/f.u.
- Calculated density: 11.6 g/cm3
- V: 17.85 Å³/atom

=====

VASP calculation (meta-GGA SCAN) on a PBEsol-optimized structure of InFeSb2.

Cell and atoms, written as CIF:
```
data_InFeSb2
_space_group_name_H-M_alt 'C 1 m 1'
_space_group_IT_number 8
_space_group_name_Hall 'C -2y'
_cell_length_a 9.599
_cell_length_b 3.189
_cell_length_c 6.172
_cell_angle_alpha 90.00
_cell_angle_beta 111.38
_cell_angle_gamma 90.00
loop_
_atom_site_label
_atom_site_fract_x
_atom_site_fract_y
_atom_site_fract_z
In1 0.000 0.000 0.000
Fe1 0.226 0.500 0.993
Sb1 0.164 0.000 0.650
Sb2 0.343 0.000 0.334
```

Output
- Raw formation energy: 0.1667 eV per atom
- N(E_F): 1.982 states/eV/f.u.
- Calculated density: 7.8 g/cm3
- V: 21.99 Å³/atom

=====

VASP calculation (meta-GGA SCAN) on a PBEsol-optimized structure of LiIn2SiS.

Cell and atoms, written as CIF:
```
data_LiIn2SiS
_space_group_name_H-M_alt 'P 4/m m m'
_space_group_IT_number 123
_space_group_name_Hall '-P 4 2'
_cell_length_a 5.065
_cell_length_b 5.065
_cell_length_c 4.649
_cell_angle_alpha 90.00
_cell_angle_beta 90.00
_cell_angle_gamma 90.00
loop_
_atom_site_label
_atom_site_fract_x
_atom_site_fract_y
_atom_site_fract_z
Li1 0.000 0.000 0.000
In1 0.000 0.500 0.500
Si1 0.000 0.000 0.500
S1 0.500 0.500 0.000
```

Output
- Raw formation energy: 0.1366 eV per atom
- N(E_F): 1.067 states/eV/f.u.
- Calculated density: 4.1 g/cm3
- V: 23.85 Å³/atom

=====

VASP calculation (meta-GGA SCAN) on a PBEsol-optimized structure of LaScRu4.

Cell and atoms, written as CIF:
```
data_LaScRu4
_space_group_name_H-M_alt 'F -4 3 m'
_space_group_IT_number 216
_space_group_name_Hall 'F -4 2 3'
_cell_length_a 7.442
_cell_length_b 7.442
_cell_length_c 7.442
_cell_angle_alpha 90.00
_cell_angle_beta 90.00
_cell_angle_gamma 90.00
loop_
_atom_site_label
_atom_site_fract_x
_atom_site_fract_y
_atom_site_fract_z
La1 0.000 0.000 0.000
Sc1 0.250 0.250 0.750
Ru1 0.124 0.124 0.376
```

Output
- N(E_F): 7.296 states/eV/f.u.
- Calculated density: 9.5 g/cm3
- Formation energy from the elements: -0.20 eV/atom
- V: 17.17 Å³/atom

=====

VASP calculation (meta-GGA SCAN) on a PBEsol-optimized structure of AlSnH3.

Cell and atoms, written as CIF:
```
data_AlSnH3
_space_group_name_H-M_alt 'P m -3 m'
_space_group_IT_number 221
_space_group_name_Hall '-P 4 2 3'
_cell_length_a 3.755
_cell_length_b 3.755
_cell_length_c 3.755
_cell_angle_alpha 90.00
_cell_angle_beta 90.00
_cell_angle_gamma 90.00
loop_
_atom_site_label
_atom_site_fract_x
_atom_site_fract_y
_atom_site_fract_z
Al1 0.000 0.000 0.000
Sn1 0.500 0.500 0.500
H1 0.000 0.000 0.500
```

Output
- N(E_F): 1.822 states/eV/f.u.
- Raw total energy: -10.311 eV per atom
- Calculated density: 4.7 g/cm3
- V: 10.59 Å³/atom

=====

VASP calculation (meta-GGA SCAN) on a PBEsol-optimized structure of BPS2Cl.

Cell and atoms, written as CIF:
```
data_BPS2Cl
_space_group_name_H-M_alt 'P 4/m m m'
_space_group_IT_number 123
_space_group_name_Hall '-P 4 2'
_cell_length_a 4.582
_cell_length_b 4.582
_cell_length_c 4.501
_cell_angle_alpha 90.00
_cell_angle_beta 90.00
_cell_angle_gamma 90.00
loop_
_atom_site_label
_atom_site_fract_x
_atom_site_fract_y
_atom_site_fract_z
B1 0.000 0.000 0.000
P1 0.500 0.500 0.000
S1 0.000 0.500 0.500
Cl1 0.500 0.500 0.500
```

Output
- Raw formation energy: 2.1280 eV per atom
- N(E_F): 3.457 states/eV/f.u.
- Calculated density: 2.5 g/cm3
- V: 18.90 Å³/atom

=====

VASP calculation (meta-GGA SCAN) on a PBEsol-optimized structure of ZrPbC3.

Cell and atoms, written as CIF:
```
data_ZrPbC3
_space_group_name_H-M_alt 'P m -3 m'
_space_group_IT_number 221
_space_group_name_Hall '-P 4 2 3'
_cell_length_a 4.348
_cell_length_b 4.348
_cell_length_c 4.348
_cell_angle_alpha 90.00
_cell_angle_beta 90.00
_cell_angle_gamma 90.00
loop_
_atom_site_label
_atom_site_fract_x
_atom_site_fract_y
_atom_site_fract_z
Zr1 0.000 0.000 0.000
Pb1 0.500 0.500 0.500
C1 0.000 0.000 0.500
```

Output
- N(E_F): 2.945 states/eV/f.u.
- Calculated density: 6.8 g/cm3
- Formation energy from the elements: 1.90 eV/atom
- V: 16.44 Å³/atom

=====

VASP calculation (meta-GGA SCAN) on a PBEsol-optimized structure of TaCo6Mo.

Cell and atoms, written as CIF:
```
data_TaCo6Mo
_space_group_name_H-M_alt 'C m m m'
_space_group_IT_number 65
_space_group_name_Hall '-C 2 2'
_cell_length_a 7.120
_cell_length_b 10.071
_cell_length_c 10.079
_cell_angle_alpha 90.00
_cell_angle_beta 90.00
_cell_angle_gamma 90.00
loop_
_atom_site_label
_atom_site_fract_x
_atom_site_fract_y
_atom_site_fract_z
Ta1 0.000 0.000 0.250
Ta2 0.000 0.249 0.000
Co1 0.000 0.000 0.000
Co2 0.000 0.000 0.500
Co3 0.000 0.252 0.254
Co4 0.000 0.500 0.000
Co5 0.000 0.500 0.500
Co6 0.246 0.376 0.127
Co7 0.247 0.374 0.377
Mo1 0.000 0.249 0.500
Mo2 0.000 0.500 0.249
```

Output
- N(E_F): 5.845 states/eV/f.u.
- Calculated density: 11.6 g/cm3
- Formation energy from the elements: 0.06 eV/atom
- V: 11.29 Å³/atom

=====

VASP calculation (meta-GGA SCAN) on a PBEsol-optimized structure of LiMnAlO4.

Cell and atoms, written as CIF:
```
data_LiMnAlO4
_space_group_name_H-M_alt 'P 43 2 2'
_space_group_IT_number 95
_space_group_name_Hall 'P 4cw 2c'
_cell_length_a 5.666
_cell_length_b 5.666
_cell_length_c 7.914
_cell_angle_alpha 90.00
_cell_angle_beta 90.00
_cell_angle_gamma 90.00
loop_
_atom_site_label
_atom_site_fract_x
_atom_site_fract_y
_atom_site_fract_z
Li1 0.000 0.234 0.000
Mn1 0.236 0.500 0.250
Al1 0.255 0.255 0.625
O1 0.013 0.268 0.260
O2 0.265 0.489 0.011
```

Output
- Raw formation energy: -2.6250 eV per atom
- N(E_F): 0.000 states/eV/f.u.
- Calculated density: 4.0 g/cm3
- V: 9.07 Å³/atom